{
  "formula": "SbRh2Cl",
  "functional": "PBE-GGA",
  "state": "optimized geometry",
  "lattice": [[5.354, -0.003, -0.009], [-2.576, 4.511, -0.007], [0.202, 1.085, 2.922]],
  "species": ["Sb", "Rh", "Cl", "Rh"],
  "frac_coords": [[0.000, 0.500, 0.500], [0.000, 0.000, 0.000], [0.500, 0.500, 0.000], [0.500, 0.000, 0.500]],
  "formation_energy_uncorrected_mev_per_atom": 277,
  "dft_energy_ev_per_fu": -19.6,
  "sg": "C2/m"
}



{
  "formula": "SbRh2Cl",
  "functional": "PBE-GGA",
  "state": "optimized geometry",
  "lattice": [[-3.810, 1.410, -3.855], [-4.742, -2.856, -0.848], [3.039, 2.248, 4.132]],
  "species": ["Sb", "Cl", "Rh", "Rh"],
  "frac_coords": [[0.500, 0.500, 0.000], [0.750, 0.250, 0.500], [0.000, 0.000, 0.000], [0.250, 0.750, 0.500]],
  "formation_energy_uncorrected_mev_per_atom": 246,
  "dft_energy_ev_per_fu": -19.7,
  "sg": "I-4m2"
}



{
  "formula": "SbRhCl",
  "functional": "PBE-GGA",
  "state": "optimized geometry",
  "lattice": [[-2.238, -3.265, 4.874], [-2.882, -5.100, 2.240], [2.420, -2.030, 0.862]],
  "species": ["Rh", "Sb", "Cl"],
  "frac_coords": [[0.675, 0.675, 0.325], [0.296, 0.296, 0.704], [0.029, 0.029, 0.971]],
  "formation_energy_uncorrected_mev_per_atom": -132,
  "dft_energy_ev_per_fu": -13.7,
  "sg": "Fmm2"
}



{
  "formula": "SbRhCl",
  "functional": "PBE-GGA",
  "state": "optimized geometry",
  "lattice": [[-2.000, -1.764, 3.785], [2.412, -2.778, 2.811], [1.268, 1.490, 4.196]],
  "species": ["Cl", "Sb", "Rh"],
  "frac_coords": [[0.000, 0.000, 0.000], [0.750, 0.750, 0.750], [0.500, 0.500, 0.500]],
  "formation_energy_uncorrected_mev_per_atom": 380,
  "dft_energy_ev_per_fu": -12.2,
  "sg": "F-43m"
}



{
  "formula": "SbRh2Cl",
  "functional": "PBE-GGA",
  "state": "optimized geometry",
  "lattice": [[5.351, 0.019, -0.009], [4.383, 3.070, -0.009], [0.485, 0.154, 4.325]],
  "species": ["Cl", "Rh", "Sb", "Rh"],
  "frac_coords": [[0.762, 0.762, 0.813], [0.978, 0.978, 0.971], [0.525, 0.525, 0.443], [0.235, 0.235, 0.273]],
  "formation_energy_uncorrected_mev_per_atom": 76,
  "dft_energy_ev_per_fu": -20.4,
  "sg": "Cm"
}



{
  "formula": "SbRh2Cl",
  "functional": "PBE-GGA",
  "state": "optimized geometry",
  "lattice": [[3.196, 0.000, 0.000], [0.000, 3.319, -0.037], [0.000, 0.099, 7.042]],
  "species": ["Rh", "Cl", "Rh", "Sb"],
  "frac_coords": [[0.000, 0.749, 0.450], [0.500, 0.750, 0.750], [0.000, 0.751, 0.050], [0.500, 0.250, 0.250]],
  "formation_energy_uncorrected_mev_per_atom": -142,
  "dft_energy_ev_per_fu": -21.2,
  "sg": "P2/m"
}



{
  "formula": "SbRh2Cl",
  "functional": "PBE-GGA",
  "state": "optimized geometry",
  "lattice": [[-2.552, 1.259, 3.568], [-1.496, 4.299, 0.332], [-4.431, 0.925, -0.578]],
  "species": ["Cl", "Rh", "Rh", "Sb"],
  "frac_coords": [[0.000, 0.000, 0.000], [0.750, 0.750, 0.750], [0.250, 0.250, 0.250], [0.500, 0.500, 0.500]],
  "formation_energy_uncorrected_mev_per_atom": 89,
  "dft_energy_ev_per_fu": -20.3,
  "sg": "Fm-3m"
}



{
  "formula": "SbRhCl2",
  "functional": "PBE-GGA",
  "state": "optimized geometry",
  "lattice": [[4.181, 0.000, 0.000], [0.000, 4.439, -0.005], [0.000, 0.614, 4.395]],
  "species": ["Cl", "Rh", "Sb", "Cl"],
  "frac_coords": [[0.000, 0.467, 0.467], [0.500, 0.250, 0.250], [0.500, 0.750, 0.750], [0.000, 0.033, 0.033]],
  "formation_energy_uncorrected_mev_per_atom": -10,
  "dft_energy_ev_per_fu": -15.2,
  "sg": "Cmmm"
}



{
  "formula": "SbRhCl2",
  "functional": "PBE-GGA",
  "state": "optimized geometry",
  "lattice": [[4.763, -0.001, 0.000], [0.011, 4.763, 0.000], [-2.387, -2.381, 3.364]],
  "species": ["Cl", "Rh", "Cl", "Sb"],
  "frac_coords": [[0.000, 0.000, 0.000], [0.500, 0.500, 0.000], [0.250, 0.750, 0.500], [0.750, 0.250, 0.500]],
  "formation_energy_uncorrected_mev_per_atom": 128,
  "dft_energy_ev_per_fu": -14.7,
  "sg": "I-4m2"
}



{
  "formula": "SbRhCl",
  "functional": "PBE-GGA",
  "state": "optimized geometry",
  "lattice": [[-3.005, -1.772, -2.847], [1.243, -1.107, -4.183], [0.305, -4.333, -1.185]],
  "species": ["Cl", "Sb", "Rh"],
  "frac_coords": [[0.500, 0.500, 0.500], [0.000, 0.000, 0.000], [0.750, 0.750, 0.750]],
  "formation_energy_uncorrected_mev_per_atom": -88,
  "dft_energy_ev_per_fu": -13.6,
  "sg": "F-43m"
}



{
  "formula": "SbRh2Cl",
  "functional": "PBE-GGA",
  "state": "optimized geometry",
  "lattice": [[6.425, 0.004, -0.001], [4.445, 4.639, 0.001], [-5.148, -2.993, 2.412]],
  "species": ["Rh", "Rh", "Cl", "Sb"],
  "frac_coords": [[0.954, 0.954, 0.000], [0.739, 0.239, 0.500], [0.263, 0.763, 0.500], [0.544, 0.544, 0.000]],
  "formation_energy_uncorrected_mev_per_atom": 58,
  "dft_energy_ev_per_fu": -20.4,
  "sg": "Imm2"
}



{
  "formula": "Sb4RhCl",
  "functional": "PBE-GGA",
  "state": "optimized geometry",
  "lattice": [[0.000, 4.317, 4.317], [4.317, 0.000, 4.317], [4.317, 4.317, 0.000]],
  "species": ["Sb", "Sb", "Rh", "Cl", "Sb", "Sb"],
  "frac_coords": [[0.867, 0.378, 0.378], [0.378, 0.378, 0.867], [0.000, 0.000, 0.000], [0.750, 0.750, 0.750], [0.378, 0.378, 0.378], [0.378, 0.867, 0.378]],
  "formation_energy_uncorrected_mev_per_atom": 573,
  "dft_energy_ev_per_fu": -22.2,
  "sg": "F-43m"
}



{
  "formula": "SbRh2Cl",
  "functional": "PBE-GGA",
  "state": "optimized geometry",
  "lattice": [[3.233, 0.017, 0.000], [-0.020, 3.233, 0.000], [0.000, 0.000, 6.793]],
  "species": ["Sb", "Rh", "Rh", "Cl"],
  "frac_coords": [[0.500, 0.500, 0.250], [0.000, 0.000, 0.039], [0.000, 0.000, 0.461], [0.500, 0.500, 0.750]],
  "formation_energy_uncorrected_mev_per_atom": -37,
  "dft_energy_ev_per_fu": -20.8,
  "sg": "P4/mmm"
}



{
  "formula": "SbRh2Cl",
  "functional": "PBE-GGA",
  "state": "optimized geometry",
  "lattice": [[9.403, -0.042, -0.025], [8.876, 3.103, -0.025], [8.876, 1.486, 2.724]],
  "species": ["Rh", "Rh", "Sb", "Cl"],
  "frac_coords": [[0.258, 0.258, 0.258], [0.999, 0.999, 0.999], [0.520, 0.520, 0.520], [0.723, 0.723, 0.723]],
  "formation_energy_uncorrected_mev_per_atom": 129,
  "dft_energy_ev_per_fu": -20.2,
  "sg": "R3m"
}



{
  "formula": "SbRh2Cl",
  "functional": "PBE-GGA",
  "state": "optimized geometry",
  "lattice": [[7.818, 0.003, 0.002], [7.117, 3.234, 0.002], [7.117, 1.542, 2.842]],
  "species": ["Cl", "Sb", "Rh", "Rh"],
  "frac_coords": [[0.750, 0.750, 0.750], [0.250, 0.250, 0.250], [0.504, 0.504, 0.504], [0.996, 0.996, 0.996]],
  "formation_energy_uncorrected_mev_per_atom": -75,
  "dft_energy_ev_per_fu": -21.0,
  "sg": "R-3m"
}



{
  "formula": "SbRhCl2",
  "functional": "PBE-GGA",
  "state": "optimized geometry",
  "lattice": [[-0.224, 3.008, 0.952], [-2.913, -0.564, 1.098], [3.315, -2.182, 7.676]],
  "species": ["Rh", "Cl", "Sb", "Cl"],
  "frac_coords": [[0.500, 0.500, 0.250], [0.000, 0.000, 0.067], [0.500, 0.500, 0.750], [0.000, 0.000, 0.433]],
  "formation_energy_uncorrected_mev_per_atom": 295,
  "dft_energy_ev_per_fu": -14.0,
  "sg": "P4/mmm"
}



{
  "formula": "SbRhCl2",
  "functional": "PBE-GGA",
  "state": "optimized geometry",
  "lattice": [[-6.150, -5.418, -1.502], [-3.040, -7.368, -2.428], [-4.124, -7.141, 1.192]],
  "species": ["Cl", "Sb", "Cl", "Rh"],
  "frac_coords": [[0.022, 0.022, 0.022], [0.771, 0.771, 0.771], [0.217, 0.217, 0.217], [0.490, 0.490, 0.490]],
  "formation_energy_uncorrected_mev_per_atom": -399,
  "dft_energy_ev_per_fu": -16.8,
  "sg": "R3m"
}



{
  "formula": "SbRh2Cl",
  "functional": "PBE-GGA",
  "state": "optimized geometry",
  "lattice": [[3.489, 0.000, 0.000], [0.000, 3.492, 0.000], [0.000, 0.000, 5.813]],
  "species": ["Rh", "Cl", "Rh", "Sb"],
  "frac_coords": [[0.000, 0.000, 0.950], [0.500, 0.500, 0.854], [0.500, 0.500, 0.255], [0.000, 0.000, 0.442]],
  "formation_energy_uncorrected_mev_per_atom": -22,
  "dft_energy_ev_per_fu": -20.8,
  "sg": "P4mm"
}



{
  "formula": "SbRhCl2",
  "functional": "PBE-GGA",
  "state": "optimized geometry",
  "lattice": [[5.199, -0.002, 0.000], [-1.638, 4.934, 0.000], [0.000, 0.000, 3.155]],
  "species": ["Sb", "Cl", "Rh", "Cl"],
  "frac_coords": [[0.000, 0.500, 0.500], [0.000, 0.000, 0.000], [0.500, 0.000, 0.500], [0.500, 0.500, 0.000]],
  "formation_energy_uncorrected_mev_per_atom": 422,
  "dft_energy_ev_per_fu": -13.5,
  "sg": "Cmmm"
}



{
  "formula": "SbRh2Cl",
  "functional": "PBE-GGA",
  "state": "optimized geometry",
  "lattice": [[3.115, 0.000, 0.000], [0.000, 5.364, 0.000], [0.000, 0.000, 4.237]],
  "species": ["Sb", "Cl", "Rh", "Rh"],
  "frac_coords": [[0.500, 0.000, 0.500], [0.000, 0.500, 0.500], [0.000, 0.000, 0.000], [0.500, 0.500, 0.000]],
  "formation_energy_uncorrected_mev_per_atom": 253,
  "dft_energy_ev_per_fu": -19.7,
  "sg": "Pmmm"
}



{
  "formula": "SbRh2Cl",
  "functional": "PBE-GGA",
  "state": "optimized geometry",
  "lattice": [[-2.389, -0.207, 3.200], [-3.984, -0.283, 0.208], [-0.931, -6.343, 0.657]],
  "species": ["Sb", "Rh", "Rh", "Cl"],
  "frac_coords": [[0.250, 0.250, 0.250], [0.991, 0.991, 0.038], [0.509, 0.509, 0.462], [0.750, 0.750, 0.750]],
  "formation_energy_uncorrected_mev_per_atom": -63,
  "dft_energy_ev_per_fu": -20.9,
  "sg": "C2/m"
}



{
  "formula": "SbRhCl2",
  "functional": "PBE-GGA",
  "state": "optimized geometry",
  "lattice": [[6.391, -0.010, 0.000], [3.874, 5.083, 0.000], [-4.757, -3.296, 2.711]],
  "species": ["Sb", "Cl", "Rh", "Cl"],
  "frac_coords": [[0.327, 0.827, 0.500], [0.983, 0.983, 0.000], [0.495, 0.495, 0.000], [0.695, 0.195, 0.500]],
  "formation_energy_uncorrected_mev_per_atom": -146,
  "dft_energy_ev_per_fu": -15.7,
  "sg": "Imm2"
}



{
  "formula": "Tc2SbRhCl",
  "functional": "PBE-GGA",
  "state": "optimized geometry",
  "lattice": [[5.141, 0.000, 0.000], [0.000, 4.856, 0.000], [0.000, 0.000, 5.141]],
  "species": ["Tc", "Tc", "Rh", "Cl", "Sb"],
  "frac_coords": [[0.500, 0.000, 0.000], [0.000, 0.000, 0.500], [0.000, 0.500, 0.000], [0.500, 0.500, 0.500], [0.000, 0.000, 0.000]],
  "formation_energy_uncorrected_mev_per_atom": 1565,
  "dft_energy_ev_per_fu": -26.2,
  "sg": "P4/mmm"
}



{
  "formula": "Sb2TeRhCl",
  "functional": "PBE-GGA",
  "state": "optimized geometry",
  "lattice": [[-1.409, 1.036, -4.894], [-5.000, -0.112, 1.416], [0.178, 5.139, 1.036]],
  "species": ["Rh", "Sb", "Cl", "Sb", "Te"],
  "frac_coords": [[0.000, 0.000, 0.000], [0.500, 0.000, 0.000], [0.500, 0.500, 0.500], [0.000, 0.500, 0.000], [0.000, 0.000, 0.500]],
  "formation_energy_uncorrected_mev_per_atom": 240,
  "dft_energy_ev_per_fu": -19.4,
  "sg": "P4/mmm"
}



{
  "formula": "Sb2TeRhCl",
  "functional": "PBE-GGA",
  "state": "optimized geometry",
  "lattice": [[5.131, 0.000, 0.000], [0.000, 5.131, 0.000], [0.000, 0.000, 5.373]],
  "species": ["Sb", "Cl", "Rh", "Sb", "Te"],
  "frac_coords": [[0.000, 0.500, 0.000], [0.000, 0.000, 0.000], [0.500, 0.500, 0.500], [0.500, 0.000, 0.000], [0.000, 0.000, 0.500]],
  "formation_energy_uncorrected_mev_per_atom": 1153,
  "dft_energy_ev_per_fu": -14.8,
  "sg": "P4/mmm"
}



{
  "formula": "ScRhCl2",
  "functional": "PBE-GGA",
  "state": "optimized geometry",
  "lattice": [[-0.041, 3.516, 1.151], [-2.927, 0.619, -1.995], [-4.280, -1.714, 5.083]],
  "species": ["Sc", "Rh", "Cl", "Cl"],
  "frac_coords": [[0.500, 0.747, 0.682], [0.000, 0.246, 0.573], [0.500, 0.490, 0.339], [0.000, 0.017, 0.906]],
  "formation_energy_uncorrected_mev_per_atom": -1045,
  "dft_energy_ev_per_fu": -21.6,
  "sg": "Pm"
}



{
  "formula": "ScRhCl2",
  "functional": "PBE-GGA",
  "state": "optimized geometry",
  "lattice": [[6.893, 0.029, -0.031], [6.035, 3.330, -0.031], [0.414, 0.107, 4.219]],
  "species": ["Cl", "Sc", "Cl", "Rh"],
  "frac_coords": [[0.890, 0.890, 0.045], [0.250, 0.250, 0.250], [0.610, 0.610, 0.455], [0.750, 0.750, 0.750]],
  "formation_energy_uncorrected_mev_per_atom": -1120,
  "dft_energy_ev_per_fu": -21.9,
  "sg": "C2/m"
}



{
  "formula": "ScRhCl6",
  "functional": "PBE-GGA",
  "state": "optimized geometry",
  "lattice": [[6.163, 0.008, 0.008], [3.074, 5.341, 0.011], [3.072, 1.775, 5.539]],
  "species": ["Cl", "Sc", "Cl", "Rh", "Cl", "Cl", "Cl", "Cl"],
  "frac_coords": [[0.604, 0.237, 0.245], [0.500, 0.500, 0.500], [0.913, 0.604, 0.245], [0.000, 0.000, 0.000], [0.396, 0.763, 0.755], [0.087, 0.396, 0.755], [0.237, 0.913, 0.245], [0.763, 0.087, 0.755]],
  "formation_energy_uncorrected_mev_per_atom": -1231,
  "dft_energy_ev_per_fu": -34.6,
  "sg": "R-3"
}



{
  "formula": "Sc2RhCl",
  "functional": "PBE-GGA",
  "state": "optimized geometry",
  "lattice": [[-0.630, 4.506, -1.301], [-3.959, 2.285, 1.225], [0.162, 3.443, 3.242]],
  "species": ["Rh", "Sc", "Sc", "Cl"],
  "frac_coords": [[0.250, 0.250, 0.250], [0.750, 0.750, 0.750], [0.000, 0.000, 0.000], [0.500, 0.500, 0.500]],
  "formation_energy_uncorrected_mev_per_atom": 6,
  "dft_energy_ev_per_fu": -21.8,
  "sg": "F-43m"
}



{
  "formula": "Sc2RhCl",
  "functional": "PBE-GGA",
  "state": "optimized geometry",
  "lattice": [[-0.535, 3.083, 0.190], [-3.199, -0.598, 0.701], [1.653, -0.170, 7.417]],
  "species": ["Sc", "Cl", "Sc", "Rh"],
  "frac_coords": [[0.000, 0.250, 0.539], [0.500, 0.250, 0.250], [0.000, 0.250, 0.961], [0.500, 0.750, 0.750]],
  "formation_energy_uncorrected_mev_per_atom": -1106,
  "dft_energy_ev_per_fu": -26.3,
  "sg": "Pmmm"
}